[1]
The following is a DFT calculation (PBE) of a geometry-optimized BaAlBr4 structure.

Cell lengths 6.577, 6.577, 6.577 Å; angles 60.00, 60.00, 60.00 degrees
Last column: magnetic moment on the atom in μB.
Fractional coordinates of all 6 atoms:
Ba: 0.000 0.000 0.000  0.00
Al: 0.750 0.750 0.750  0.00
Br: 0.375 0.875 0.375  0.21
Br: 0.875 0.375 0.375  0.21
Br: 0.375 0.375 0.875  0.21
Br: 0.375 0.375 0.375  0.21

spin magnetization: 1.039 μB/f.u.
VASP energy: -14.78 eV per cell
space group: No. 216

---

[2]
The following is a DFT calculation (PBE) of a geometry-optimized CdSb3Pd structure.

Cell lengths 5.274, 5.274, 5.274 Å; angles 90.00, 90.00, 90.00 degrees
Fractional coordinates of all 5 atoms:
Sb: 0.000 0.500 0.000
Sb: 0.000 0.000 0.500
Sb: 0.500 0.000 0.000
Pd: 0.000 0.000 0.000
Cd: 0.500 0.500 0.500

spin magnetization: 0.000 μB/f.u.
space group: No. 221
polymorph energy (0 for the lowest one): 0.0 meV/atom

---

[3]
The following is a DFT calculation (PBE) of a geometry-optimized PmMgV structure.

Cell lengths 3.269, 3.269, 15.219 Å; angles 83.84, 83.84, 60.00 degrees
Fractional coordinates of all 6 atoms:
Pm: 0.595 0.595 0.214
Pm: 0.405 0.405 0.786
V: 0.316 0.316 0.052
V: 0.684 0.684 0.948
Mg: 0.862 0.862 0.414
Mg: 0.138 0.138 0.586

formation enthalpy at 0 K: 7.42 kcal/mol of atoms
spin magnetization: 0.000 μB/f.u.
space group: No. 166